1.
## TbTm2IO8 (GGA-PBE)

Data for a relaxed TbTm2IO8 crystal.

Results
* ρ: 7.41 g/cm3

a = 4.9785 Å, b = 6.7922 Å, c = 4.9791 Å
α = 90.00°, β = 90.42°, γ = 90.00°
Space group P2/m (No. 10)
One atom of each set of equivalent atoms:
Tb  0.0000  0.0000  0.0000
Tm  0.5000  0.2473  0.5000
I  0.0000  0.5000  0.0000
O  0.1837  0.2924  0.8174
O  0.2706  0.5000  0.2720
O  0.3113  0.0000  0.3129

2.
## Ho3In4Hg2 (GGA-PBE)

Data for a relaxed Ho3In4Hg2 crystal.

Results
* ρ: 9.84 g/cm3
* formation energy from the elements: -0.359 eV/atom
* polymorph energy (0 for the lowest one): 33 meV per atom

a = 7.7216 Å, b = 7.7216 Å, c = 4.4308 Å
α = 90.00°, β = 90.00°, γ = 120.00°
Space group P-62m (No. 189)
One atom of each set of equivalent atoms:
Ho  0.0000  0.5916  0.0000
In  0.0000  0.0000  0.0000
In  0.0000  0.2601  0.5000
Hg  0.3333  0.6667  0.5000

3.
## MgAlHg2 (GGA-PBE)

Data for a relaxed MgAlHg2 crystal.

Results
* ρ: 8.44 g/cm3
* formation energy from the elements: 0.041 eV/atom

a = 6.5013 Å, b = 9.4954 Å, c = 3.2843 Å
α = 90.00°, β = 118.60°, γ = 90.00°
Space group C2/m (No. 12)
One atom of each set of equivalent atoms:
Mg  0.0000  0.0000  0.0000
Al  0.0000  0.5000  0.0000
Hg  0.2500  0.2500  0.0000

4.
## PmAl2Zn9 (GGA-PBE)

Data for a relaxed PmAl2Zn9 crystal.

Results
* ρ: 6.60 g/cm3
* formation energy from the elements: -0.164 eV/atom
* polymorph energy (0 for the lowest one): 0 meV per atom

a = 10.6102 Å, b = 10.6102 Å, c = 7.0406 Å
α = 90.00°, β = 90.00°, γ = 90.00°
Space group I4_1/amd (No. 141, origin choice 2)
One atom of each set of equivalent atoms:
Pm  0.0000  0.2500  0.3750
Al  0.0000  0.0000  0.0000
Zn  0.0000  0.2500  0.8750
Zn  0.1211  0.0444  0.6733

5.
## Cs2In4Ga3Sn (GGA-PBE)

Data for a relaxed Cs2In4Ga3Sn crystal.

Results
* ρ: 5.72 g/cm3
* formation energy from the elements: -0.103 eV/atom

a = 5.0089 Å, b = 5.0089 Å, c = 12.1912 Å
α = 90.00°, β = 90.00°, γ = 90.00°
Space group P-4m2 (No. 115)
One atom of each set of equivalent atoms:
Cs  0.0000  0.5000  0.2482
In  0.0000  0.0000  0.0000
In  0.0000  0.5000  0.6371
In  0.5000  0.5000  0.0000
Ga  0.0000  0.5000  0.8736
Ga  0.5000  0.5000  0.5000
Sn  0.0000  0.0000  0.5000

6.
## BiPd2Se (GGA-PBE)

Data for a relaxed BiPd2Se crystal.

Results
* ρ: 9.96 g/cm3

a = 4.0124 Å, b = 4.0124 Å, c = 17.9658 Å
α = 90.00°, β = 90.00°, γ = 120.00°
Space group R-3m (No. 166, hexagonal axes)
One atom of each set of equivalent atoms:
Bi  0.0000  0.0000  0.0000
Pd  0.0000  0.0000  0.2349
Se  0.0000  0.0000  0.5000

| no. | raw total energy (eV/atom) |
| --- | --- |
| 1 | -6.942 |
| 2 | -3.169 |
| 3 | -1.444 |
| 4 | -2.139 |
| 5 | -2.677 |
| 6 | -4.615 |